First-principles (PBE) data for a relaxed structure of GeHO2F, as listed in Alexandria via LeMat-Bulk.

Results
- symmetry = P4/mmm, No. 123

Lattice parameters (Å, degrees): 3.202 3.202 4.426 90.00 90.00 90.00
Fractional coordinates of all 5 atoms:
O 0.000 0.500 0.000
O 0.500 0.000 0.000
Ge 0.500 0.500 0.500
F 0.000 0.000 0.500
H 0.000 0.000 0.000

***

First-principles (PBE) data for a relaxed structure of Al2Cu3Pd8, as listed in Alexandria via LeMat-Bulk.

Results
- symmetry = P2/m, No. 10

Lattice parameters (Å, degrees): 4.130 8.274 7.249 124.44 90.00 90.00
Fractional coordinates of all 13 atoms:
Pd 0.500 0.383 0.259
Pd 0.500 0.617 0.741
Pd 0.000 0.136 0.273
Pd 0.000 0.378 0.754
Pd 0.500 0.877 0.261
Pd 0.500 0.123 0.739
Pd 0.000 0.622 0.246
Pd 0.000 0.864 0.727
Al 0.500 0.747 0.495
Al 0.500 0.253 0.505
Cu 0.500 0.000 0.000
Cu 0.000 0.242 0.000
Cu 0.000 0.758 0.000

***

First-principles (PBE) data for a relaxed structure of DyZn3Cd, as listed in Alexandria via LeMat-Bulk.

Results
- symmetry = Cmcm, No. 63

Lattice parameters (Å, degrees): 4.420 3.553 12.815 97.97 90.00 90.00
Fractional coordinates of all 10 atoms:
Zn 0.250 0.476 0.951
Zn 0.250 0.375 0.750
Zn 0.250 0.677 0.354
Zn 0.750 0.323 0.646
Zn 0.750 0.524 0.049
Zn 0.750 0.625 0.250
Dy 0.750 0.925 0.850
Dy 0.250 0.075 0.150
Cd 0.250 0.785 0.571
Cd 0.750 0.215 0.429

***

First-principles (PBE) data for a relaxed structure of AcTbIr, as listed in Alexandria via LeMat-Bulk.

Results
- symmetry = C2/m, No. 12
- ΔE to the lowest computed polymorph (meV/atom) = 58.4

Lattice parameters (Å, degrees): 4.300 4.297 13.038 80.57 80.51 59.98
Fractional coordinates of all 6 atoms:
Ir 0.895 0.832 0.378
Ir 0.044 0.982 0.929
Ac 0.186 0.124 0.504
Ac 0.753 0.690 0.803
Tb 0.344 0.282 0.031
Tb 0.596 0.532 0.276

***

First-principles (PBE) data for a relaxed structure of GdThCoNi, as listed in Alexandria via LeMat-Bulk.

Results
- symmetry = F-43m, No. 216

Lattice parameters (Å, degrees): 4.861 4.861 4.861 60.00 60.00 60.00
Fractional coordinates of all 4 atoms:
Co 0.250 0.250 0.250
Gd 0.500 0.500 0.500
Ni 0.750 0.750 0.750
Th 0.000 0.000 0.000

***

First-principles (PBE) data for a relaxed structure of BaVSe2S, as listed in Alexandria via LeMat-Bulk.

Results
- uncorrected formation energy (meV/atom) = -1122
- symmetry = P4/mmm, No. 123
- ΔE to the lowest computed polymorph (meV/atom) = 128.3

Lattice parameters (Å, degrees): 5.136 5.136 4.570 90.00 90.00 90.00
Fractional coordinates of all 5 atoms:
Se 0.000 0.500 0.000
Se 0.500 0.000 0.000
S 0.000 0.000 0.500
V 0.000 0.000 0.000
Ba 0.500 0.500 0.500

***

First-principles (PBE) data for a relaxed structure of Ti6Sb3C, as listed in Alexandria via LeMat-Bulk.

Results
- uncorrected formation energy (meV/atom) = -383
- symmetry = C2/m, No. 12

Lattice parameters (Å, degrees): 7.089 5.991 5.991 58.15 64.37 64.37
Fractional coordinates of all 10 atoms:
Ti 0.372 0.651 0.173
Ti 0.372 0.173 0.651
Ti 0.210 0.701 0.701
Ti 0.628 0.827 0.349
Ti 0.790 0.299 0.299
Ti 0.628 0.349 0.827
Sb 0.765 0.772 0.772
Sb 0.000 0.000 0.000
Sb 0.235 0.228 0.228
C 0.500 0.500 0.500

***

First-principles (PBE) data for a relaxed structure of Pm3ErSb4, as listed in Alexandria via LeMat-Bulk.

Results
- uncorrected formation energy (meV/atom) = -1159
- symmetry = Cmmm, No. 65

Lattice parameters (Å, degrees): 4.462 7.721 7.721 109.49 90.00 90.00
Fractional coordinates of all 8 atoms:
Pm 0.000 0.500 0.000
Pm 0.000 0.000 0.500
Pm 0.500 0.500 0.500
Er 0.500 0.000 0.000
Sb 0.000 0.756 0.756
Sb 0.500 0.753 0.247
Sb 0.500 0.247 0.753
Sb 0.000 0.244 0.244

***

First-principles (PBE) data for a relaxed structure of Tm2InS, as listed in Alexandria via LeMat-Bulk.

Results
- uncorrected formation energy (meV/atom) = -1176
- symmetry = R-3m, No. 166
- ΔE to the lowest computed polymorph (meV/atom) = 0.0

Lattice parameters (Å, degrees): 3.737 3.737 8.197 76.82 76.82 60.00
Fractional coordinates of all 4 atoms:
In 0.500 0.500 0.500
Tm 0.734 0.734 0.797
Tm 0.266 0.266 0.203
S 0.000 0.000 0.000

***

First-principles (PBE) data for a relaxed structure of DyTh2Tl9, as listed in Alexandria via LeMat-Bulk.

Results
- symmetry = P4/mmm, No. 123

Lattice parameters (Å, degrees): 4.811 4.811 14.365 90.00 90.00 90.00
Fractional coordinates of all 12 atoms:
Tl 0.000 0.500 0.500
Tl 0.500 0.000 0.162
Tl 0.500 0.500 0.000
Tl 0.500 0.500 0.332
Tl 0.500 0.000 0.500
Tl 0.000 0.500 0.838
Tl 0.500 0.000 0.838
Tl 0.500 0.500 0.668
Tl 0.000 0.500 0.162
Th 0.000 0.000 0.668
Th 0.000 0.000 0.332
Dy 0.000 0.000 0.000

***

First-principles (PBE) data for a relaxed structure of Sb3IrS, as listed in Alexandria via LeMat-Bulk.

Results
- uncorrected formation energy (meV/atom) = 602
- symmetry = Pm-3m, No. 221
- ΔE to the lowest computed polymorph (meV/atom) = 0.0

Lattice parameters (Å, degrees): 5.178 5.178 5.178 90.00 90.00 90.00
Fractional coordinates of all 5 atoms:
Sb 0.500 0.000 0.000
Sb 0.000 0.000 0.500
Sb 0.000 0.500 0.000
Ir 0.000 0.000 0.000
S 0.500 0.500 0.500

***

Quick rundown of VASP energy, same order as above: -4.0319; -5.0143; -2.0852; -6.4111; -8.8074; -5.5491; -7.2794; -5.5721; -5.1282; -3.5720; -4.4693 eV per atom